TlCoNO (GGA+U, relaxed); size of the total moment = 2.63 μB/f.u.; symmetry = Pca2_1; total energy = -5.140 eV/atom; V = 14.41 Å³/atom
1.0
5.8787 0.0000 0.0000
0.0000 7.1882 0.0000
0.0000 0.0000 5.4567
Tl Co N O
4 4 4 4
Cartesian
0.3160 1.1163 0.0000
2.6233 1.1163 2.7283
3.2553 6.0719 0.0000
5.5627 6.0719 2.7283
0.5328 4.3162 5.4222
2.4066 4.3162 2.6939
3.4721 2.8720 5.4222
5.3459 2.8720 2.6939
0.6337 4.2186 3.4772
2.3056 4.2186 0.7489
3.5730 2.9696 3.4772
5.2449 2.9696 0.7489
0.3162 1.0522 3.0871
2.6231 1.0522 0.3588
3.2556 6.1360 3.0871
5.5624 6.1360 0.3588